1.
# YHg2WO

An optimized crystal structure of YHg2WO (PBE with a Hubbard U, Alexandria).

Unit cell a=5.399 b=5.399 c=5.767 alpha=90.00 beta=90.00 gamma=90.00
Fractional coordinates of all 5 atoms:
Y1 0.000 0.000 0.000
Hg1 0.000 0.500 0.500
Hg2 0.500 0.000 0.500
W1 0.000 0.000 0.500
O1 0.500 0.500 0.000

Values from the calculation:
The space-group type is No. 123. The calculation puts the total energy at -2.78 eV/atom.

2.
# ZrHg2WO

An optimized crystal structure of ZrHg2WO (PBE with a Hubbard U, Alexandria).

Unit cell a=5.279 b=5.279 c=3.841 alpha=90.00 beta=90.00 gamma=90.00
Fractional coordinates of all 5 atoms:
Zr1 0.000 0.000 0.000
Hg1 0.000 0.500 0.500
Hg2 0.500 0.000 0.500
W1 0.500 0.500 0.000
O1 0.500 0.500 0.500

Values from the calculation:
The space-group type is No. 123. The calculation puts the total energy at -4.11 eV/atom.